MgTc (PBE, relaxed); formation energy = 188 meV/atom; spin magnetization = 0.00 μB/f.u.; ΔE to the lowest computed polymorph = 0.213 eV/atom
1.0
5.432 0.002 0.001
3.789 3.892 0.001
3.789 1.600 3.548
Mg Tc
2 2
direct
0.887 0.887 0.887 Mg
0.113 0.113 0.113 Mg
0.676 0.676 0.676 Tc
0.324 0.324 0.324 Tc

BaCrNi (PBE, relaxed); formation energy = 410 meV/atom; spin magnetization = 0.00 μB/f.u.; ΔE to the lowest computed polymorph = 0.145 eV/atom
1.0
-9.067 -4.139 2.073
-0.445 -1.195 -3.913
2.033 -3.474 -0.582
Ba Ni Cr
2 2 2
direct
0.536 0.386 0.799 Ba
0.937 0.842 0.471 Ba
0.102 0.347 0.101 Ni
0.224 0.448 0.615 Ni
0.239 0.836 0.995 Cr
0.310 0.045 0.325 Cr

Na4Cd5In2 (PBE, relaxed); formation energy = -81 meV/atom; spin magnetization = 0.00 μB/f.u.; ΔE to the lowest computed polymorph = 0.004 eV/atom
1.0
3.371 0.000 0.000
0.000 7.915 -0.644
0.000 0.557 10.632
Cd In Na
5 2 4
direct
0.000 0.673 0.556 Cd
0.000 0.857 0.087 Cd
0.000 0.143 0.913 Cd
0.000 0.327 0.444 Cd
0.000 0.500 0.000 Cd
0.000 0.043 0.638 In
0.000 0.957 0.362 In
0.500 0.790 0.826 Na
0.500 0.210 0.174 Na
0.500 0.608 0.280 Na
0.500 0.392 0.720 Na

NaCF5 (PBE, relaxed); ΔE_f (raw) = -1.905 eV/atom; spin magnetization = 0.07 μB/f.u.
1.0
4.336 0.000 1.974
1.564 5.819 2.315
0.735 0.987 4.134
C F Na
1 5 1
direct
0.546 0.360 0.549 C
0.209 0.364 0.757 F
0.670 0.364 0.757 F
0.292 0.869 0.547 F
0.641 0.565 0.154 F
0.664 0.142 0.531 F
0.979 0.868 0.174 Na

Ba8HgAu2 (PBE, relaxed); formation energy = -220 meV/atom; spin magnetization = 0.00 μB/f.u.
1.0
6.887 0.000 0.000
-0.001 9.041 -5.219
0.001 -0.005 10.434
Ba Au Hg
8 2 1
direct
0.754 0.333 0.667 Ba
0.246 0.667 0.333 Ba
0.255 0.160 0.842 Ba
0.745 0.840 0.158 Ba
0.255 0.158 0.319 Ba
0.255 0.681 0.840 Ba
0.745 0.319 0.160 Ba
0.745 0.842 0.681 Ba
0.743 0.667 0.333 Au
0.257 0.333 0.667 Au
0.000 0.000 0.000 Hg

Ca4In3Au10 (PBE, relaxed); formation energy = -612 meV/atom; spin magnetization = 0.00 μB/f.u.
1.0
-0.204 -8.615 -0.866
6.707 2.967 -4.605
6.071 -0.970 8.218
Au Ca In
20 8 6
direct
0.617 0.333 0.708 Au
0.667 0.383 0.292 Au
0.433 0.151 0.485 Au
0.651 0.933 0.015 Au
0.401 0.401 0.904 Au
0.333 0.617 0.708 Au
0.883 0.167 0.208 Au
0.833 0.117 0.792 Au
0.349 0.067 0.985 Au
0.067 0.349 0.985 Au
0.117 0.833 0.792 Au
0.567 0.849 0.515 Au
0.099 0.099 0.404 Au
0.599 0.599 0.096 Au
0.901 0.901 0.596 Au
0.167 0.883 0.208 Au
0.933 0.651 0.015 Au
0.383 0.667 0.292 Au
0.151 0.433 0.485 Au
0.849 0.567 0.515 Au
0.197 0.197 0.703 Ca
0.303 0.303 0.203 Ca
0.697 0.303 0.000 Ca
0.197 0.803 0.500 Ca
0.697 0.697 0.797 Ca
0.803 0.197 0.500 Ca
0.303 0.697 0.000 Ca
0.803 0.803 0.297 Ca
0.000 0.000 0.000 In
0.020 0.520 0.250 In
0.480 0.980 0.750 In
0.520 0.020 0.250 In
0.500 0.500 0.500 In
0.980 0.480 0.750 In

ZrZn2Cd (PBE, relaxed); formation energy = -49 meV/atom; spin magnetization = 0.00 μB/f.u.
1.0
5.436 -0.005 0.002
4.672 2.779 0.002
1.588 0.436 4.919
Zr Cd Zn
1 1 2
direct
0.516 0.516 0.450 Zr
0.735 0.735 0.802 Cd
0.271 0.271 0.278 Zn
0.979 0.979 0.971 Zn

Ca2P2Ru (PBE, relaxed); formation energy = 257 meV/atom; spin magnetization = 2.68 μB/f.u.; ΔE to the lowest computed polymorph = 1.060 eV/atom
1.0
4.770 0.000 0.000
0.000 4.770 0.000
2.385 2.385 5.193
Ca P Ru
2 2 1
direct
0.750 0.250 0.500 Ca
0.250 0.750 0.500 Ca
0.397 0.397 0.206 P
0.603 0.603 0.794 P
0.000 0.000 0.000 Ru

Number 7 is which compound?
ZrZn2Cd

What is the spin magnetization in the eighth record?
2.68 μB/f.u.

Which value of spin magnetization does entry 6 give?
0.00 μB/f.u.